# Sb2HIrI | Alexandria via LeMat-Bulk | PBE | optimized geometry
# total energy = -18.0 eV for the cell shown
# D(E_F) = 3.1 states/eV/cell
# total magnetization = 0.9 μB/cell
# relative energy among the computed polymorphs = 0.000 eV/atom
data_Sb2HIrI
_chemical_formula_sum 'Sb2 H1 Ir1 I1'
_cell_length_a 5.0893
_cell_length_b 5.0893
_cell_length_c 5.9760
_cell_angle_alpha 90.00
_cell_angle_beta 90.00
_cell_angle_gamma 90.00
_symmetry_space_group_name_H-M 'P 4/m m m'
_symmetry_Int_Tables_number 123
_symmetry_space_group_name_Hall '-P 4 2'
loop_
_atom_site_label
_atom_site_type_symbol
_atom_site_fract_x
_atom_site_fract_y
_atom_site_fract_z
Sb1 Sb 0.0000 0.5000 0.0000
H1 H 0.0000 0.0000 0.5000
Ir1 Ir 0.5000 0.5000 0.0000
I1 I 0.5000 0.5000 0.5000